The following is a DFT calculation (GGA+U) of a relaxed structure of PuMnCoO6.

Lattice parameters (Å, degrees): 5.0757 5.0757 9.4589 90.00 90.00 120.00
Site moments in Bohr magnetons follow the coordinates.
Positions (direct):
Pu  0.3333  0.6667  0.2500  1.80
Pu  0.6667  0.3333  0.7500  1.80
Mn  0.0000  0.0000  0.0000  4.53
Mn  0.0000  0.0000  0.5000  4.53
Co  0.6667  0.3333  0.2500  0.10
Co  0.3333  0.6667  0.7500  0.10
O  0.6594  0.6443  0.1352  -0.09
O  0.9849  0.3406  0.1352  -0.09
O  0.3406  0.9849  0.6352  -0.09
O  0.0151  0.6594  0.8648  -0.09
O  0.3557  0.3406  0.3648  -0.09
O  0.9849  0.6443  0.3648  -0.09
O  0.6443  0.9849  0.8648  -0.09
O  0.6594  0.0151  0.3648  -0.09
O  0.0151  0.3557  0.6352  -0.09
O  0.3557  0.0151  0.1352  -0.09
O  0.6443  0.6594  0.6352  -0.09
O  0.3406  0.3557  0.8648  -0.09

Summary:
crystal system: trigonal
ρ: 7.14 g/cm3
SG: P-31c, No. 163
DOS(E_F): 0.2 states/eV/cell
uncorrected energy: -145.07 eV per cell